# 1
# MnCrTcGe

Crystalline MnCrTcGe at its relaxed geometry (PBE-GGA, Alexandria via LeMat-Bulk).

Structure (CIF):
```
data_MnCrTcGe
_chemical_formula_sum 'Mn2 Cr2 Tc2 Ge2'
_symmetry_space_group_name_H-M 'I m m 2'
_symmetry_Int_Tables_number 44
_cell_length_a 3.0181
_cell_length_b 4.0177
_cell_length_c 8.3928
_cell_angle_alpha 90.00
_cell_angle_beta 90.00
_cell_angle_gamma 90.00
loop_
_symmetry_equiv_pos_as_xyz
'x,y,z'
'-x,-y,z'
'-x,y,z'
'x,-y,z'
'x+1/2,y+1/2,z+1/2'
'-x+1/2,-y+1/2,z+1/2'
'-x+1/2,y+1/2,z+1/2'
'x+1/2,-y+1/2,z+1/2'
loop_
_atom_site_label
_atom_site_type_symbol
_atom_site_fract_x
_atom_site_fract_y
_atom_site_fract_z
Mn1 Mn 0.0000 0.0000 0.0000
Cr1 Cr 0.0000 0.0000 0.5060
Tc1 Tc 0.0000 0.5000 0.7551
Ge1 Ge 0.0000 0.5000 0.2565
```

Results
N(E_F) = 2.6 states/eV/f.u.
Crystal system = orthorhombic

---

# 2
# MnCrTcGe

Crystalline MnCrTcGe at its relaxed geometry (PBE-GGA, Alexandria via LeMat-Bulk).

Structure (CIF):
```
data_MnCrTcGe
_chemical_formula_sum 'Mn2 Cr2 Tc2 Ge2'
_symmetry_space_group_name_H-M 'I m m 2'
_symmetry_Int_Tables_number 44
_cell_length_a 3.1344
_cell_length_b 4.1803
_cell_length_c 8.0866
_cell_angle_alpha 90.00
_cell_angle_beta 90.00
_cell_angle_gamma 90.00
loop_
_symmetry_equiv_pos_as_xyz
'x,y,z'
'-x,-y,z'
'-x,y,z'
'x,-y,z'
'x+1/2,y+1/2,z+1/2'
'-x+1/2,-y+1/2,z+1/2'
'-x+1/2,y+1/2,z+1/2'
'x+1/2,-y+1/2,z+1/2'
loop_
_atom_site_label
_atom_site_type_symbol
_atom_site_fract_x
_atom_site_fract_y
_atom_site_fract_z
Mn1 Mn 0.0000 0.0000 0.0000
Cr1 Cr 0.0000 0.5000 0.2601
Tc1 Tc 0.0000 0.0000 0.5075
Ge1 Ge 0.0000 0.5000 0.7478
```

Results
N(E_F) = 2.8 states/eV/f.u.
Crystal system = orthorhombic

---

Number 1: final energy -67.62 eV/cell. Number 2: final energy -67.91 eV/cell.